This record from Alexandria via LeMat-Bulk describes a relaxed structure of CdAs2Pt. The functional is GGA-PBE. Values from VASP.

Computed properties:
* crystal system: tetragonal
* SG: I4/mmm

Structure (Quantum ESPRESSO input):
```
&SYSTEM
  ibrav = 0, nat = 4, ntyp = 3
/
ATOMIC_SPECIES
As 74.92 As.upf
Pt 195.08 Pt.upf
Cd 112.41 Cd.upf
CELL_PARAMETERS angstrom
-1.532 -4.491 1.327
-0.629 -2.126 -4.400
4.048 2.313 1.594
ATOMIC_POSITIONS angstrom
As 0.000 0.000 0.000
As -1.080 -3.308 -1.537
Pt 0.718 -2.743 0.692
Cd 1.170 -1.561 -2.172
```

=====

This record from Alexandria via LeMat-Bulk describes a relaxed structure of CdAsPt2. The functional is GGA-PBE. Values from VASP.

Computed properties:
* crystal system: monoclinic
* SG: C2/m

Structure (Quantum ESPRESSO input):
```
&SYSTEM
  ibrav = 0, nat = 4, ntyp = 3
/
ATOMIC_SPECIES
As 74.92 As.upf
Pt 195.08 Pt.upf
Cd 112.41 Cd.upf
CELL_PARAMETERS angstrom
4.564 -0.003 -0.007
3.557 2.860 -0.007
0.988 0.348 5.354
ATOMIC_POSITIONS angstrom
As 6.832 2.403 4.004
Pt 1.009 0.355 5.221
Pt 4.534 1.595 2.803
Cd 2.277 0.801 1.335
```

=====

This record from Alexandria via LeMat-Bulk describes a relaxed structure of CdAsPt3. The functional is GGA-PBE. Values from VASP.

Computed properties:
* crystal system: cubic
* SG: Pm-3m

Structure (Quantum ESPRESSO input):
```
&SYSTEM
  ibrav = 0, nat = 5, ntyp = 3
/
ATOMIC_SPECIES
As 74.92 As.upf
Pt 195.08 Pt.upf
Cd 112.41 Cd.upf
CELL_PARAMETERS angstrom
-0.145 0.291 4.911
4.276 -2.423 0.270
2.433 4.275 -0.181
ATOMIC_POSITIONS angstrom
As 3.282 1.071 2.500
Pt 2.138 -1.211 0.135
Pt 1.217 2.137 -0.090
Pt -0.073 0.145 2.456
Cd 0.000 0.000 0.000
```

=====

This record from Alexandria via LeMat-Bulk describes a relaxed structure of CdAs2Pt. The functional is GGA-PBE. Values from VASP.

Computed properties:
* crystal system: trigonal
* SG: R3m

Structure (Quantum ESPRESSO input):
```
&SYSTEM
  ibrav = 0, nat = 4, ntyp = 3
/
ATOMIC_SPECIES
As 74.92 As.upf
Pt 195.08 Pt.upf
Cd 112.41 Cd.upf
CELL_PARAMETERS angstrom
7.575 -0.544 -0.320
6.994 2.958 -0.320
6.994 1.159 2.740
ATOMIC_POSITIONS angstrom
As 0.160 0.027 0.016
As 5.522 0.915 0.538
Pt 15.945 2.642 1.553
Cd 10.717 1.776 1.044
```

=====

Number 1: calculated formation energy 0.141 eV/atom, DOS at the Fermi energy 2.259 states/eV/f.u.. Number 2: calculated formation energy -0.099 eV/atom, DOS at the Fermi energy 1.729 states/eV/f.u.. Number 3: calculated formation energy 1.372 eV/atom, DOS at the Fermi energy 3.097 states/eV/f.u.. Number 4: calculated formation energy -0.002 eV/atom, DOS at the Fermi energy 1.784 states/eV/f.u..